Entry 1:
## ZrRe2Te (PBEsol)

Data for a relaxed structure of ZrRe2Te.

Properties
ΔE_f (raw) = 0.357 eV/atom
D(E_F) = 3.714 states/eV per cell
SG = No. 160

The structure in POSCAR format:
```
ZrRe2Te
1.0
3.004 0.000 0.000
1.502 2.602 0.000
1.502 0.867 9.147
Re Te Zr
2 1 1
direct
0.007 0.007 0.979
0.745 0.745 0.765
0.495 0.495 0.514
0.253 0.253 0.242
```

=====

Entry 2:
## ScTa2Cu (PBEsol)

Data for a relaxed structure of ScTa2Cu.

Properties
offset from the most stable computed form = 0.00 eV/f.u.
formation energy = 10.11 kJ/mol of atoms
D(E_F) = 4.003 states/eV per cell
SG = No. 25

The structure in POSCAR format:
```
ScTa2Cu
1.0
-0.925 1.915 2.055
-3.043 -1.875 0.377
2.771 -3.577 4.579
Cu Sc Ta
1 1 2
direct
0.000 0.000 0.487
0.500 0.500 0.734
0.000 0.000 0.017
0.500 0.500 0.262
```

=====

Entry 3:
## LaAs3Ir (PBEsol)

Data for a relaxed structure of LaAs3Ir.

Properties
formation energy = -13.70 kJ/mol of atoms
D(E_F) = 7.067 states/eV per cell
SG = No. 221

The structure in POSCAR format:
```
LaAs3Ir
1.0
4.849 0.000 0.000
0.000 4.849 0.000
0.000 0.000 4.849
As Ir La
3 1 1
direct
0.000 0.500 0.000
0.000 0.000 0.500
0.500 0.000 0.000
0.000 0.000 0.000
0.500 0.500 0.500
```

=====

Entry 4:
## Mg2TlPb (PBEsol)

Data for a relaxed structure of Mg2TlPb.

Properties
offset from the most stable computed form = 0.35 eV/f.u.
formation energy = 0.06 kJ/mol of atoms
D(E_F) = 1.791 states/eV per cell
SG = No. 160

The structure in POSCAR format:
```
Mg2TlPb
1.0
-1.144 -3.139 -0.300
1.882 -2.577 1.033
-4.124 -1.234 9.881
Pb Tl Mg
1 1 2
direct
0.497 0.497 0.509
0.254 0.254 0.238
0.002 0.002 0.995
0.747 0.747 0.758
```

=====

Entry 5:
## CrCu2As (PBEsol)

Data for a relaxed structure of CrCu2As.

Properties
formation energy = 16.23 kJ/mol of atoms
D(E_F) = 2.940 states/eV per cell
SG = No. 99

The structure in POSCAR format:
```
CrCu2As
1.0
3.094 0.000 0.000
0.000 3.091 0.000
0.000 0.000 5.296
As Cr Cu
1 1 2
direct
0.000 0.000 0.527
0.500 0.500 0.733
0.000 0.000 0.016
0.500 0.500 0.224
```

=====

Entry 6:
## BaTaSb (PBEsol)

Data for a relaxed structure of BaTaSb.

Properties
ΔE_f (raw) = 0.168 eV/atom
D(E_F) = 2.600 states/eV per cell
SG = No. 107

The structure in POSCAR format:
```
BaTaSb
1.0
3.720 0.000 0.000
0.000 3.720 0.000
-1.860 -1.860 6.158
Ba Sb Ta
1 1 1
direct
0.996 0.996 0.991
0.714 0.714 0.429
0.290 0.290 0.580
```

=====

Entry 7:
## K3Mg20In14 (PBEsol)

Data for a relaxed structure of K3Mg20In14.

Properties
formation energy = -13.83 kJ/mol of atoms
D(E_F) = 11.285 states/eV per cell
SG = No. 221

The structure in POSCAR format:
```
K3Mg20In14
1.0
-5.178 -6.492 -4.999
8.120 -4.858 -2.102
-1.097 -5.311 8.034
In K Mg
14 3 20
direct
0.000 0.000 0.000
0.000 0.349 0.349
0.000 0.651 0.349
0.000 0.349 0.651
0.000 0.651 0.651
0.349 0.000 0.349
0.349 0.000 0.651
0.651 0.000 0.349
0.651 0.000 0.651
0.349 0.349 0.000
0.651 0.349 0.000
0.349 0.651 0.000
0.651 0.651 0.000
0.500 0.500 0.500
0.500 0.000 0.000
0.000 0.500 0.000
0.000 0.000 0.500
0.500 0.265 0.265
0.500 0.735 0.265
0.500 0.265 0.735
0.500 0.735 0.735
0.265 0.500 0.265
0.265 0.500 0.735
0.735 0.500 0.265
0.735 0.500 0.735
0.265 0.265 0.500
0.735 0.265 0.500
0.265 0.735 0.500
0.735 0.735 0.500
0.174 0.174 0.174
0.826 0.826 0.174
0.826 0.174 0.826
0.174 0.826 0.826
0.174 0.174 0.826
0.826 0.826 0.826
0.174 0.826 0.174
0.826 0.174 0.174
```

=====

Entry 8:
## TcB2SbW (PBEsol)

Data for a relaxed structure of TcB2SbW.

Properties
ΔE_f (raw) = 1.669 eV/atom
D(E_F) = 5.278 states/eV per cell
SG = No. 123

The structure in POSCAR format:
```
TcB2SbW
1.0
-2.365 3.204 0.182
-0.435 -0.096 -3.962
-4.196 -3.127 0.536
Sb B Tc W
1 2 1 1
direct
0.000 0.000 0.500
0.000 0.500 0.000
0.500 0.000 0.000
0.000 0.000 0.000
0.500 0.500 0.500
```